Entry 1:
Material: LaFeAg2Pt
Method: DFT, GGA-PBE
State: optimized geometry

The structure belongs to space group P4/mmm (No. 123); the cell edges are 5.181, 5.181 and 5.288 Å and the angles 90.00°, 90.00° and 90.00°. The distinct sites, in fractional coordinates, are La at (0.000, 0.000, 0.000), Fe at (0.500, 0.500, 0.000), Ag at (0.000, 0.500, 0.500) and Pt at (0.000, 0.000, 0.500).

---

Entry 2:
Material: La2ScFeAg
Method: DFT, GGA-PBE
State: optimized geometry

The structure belongs to space group P4/mmm (No. 123); the cell edges are 5.228, 5.228 and 4.948 Å and the angles 90.00°, 90.00° and 90.00°. The distinct sites, in fractional coordinates, are La at (0.000, 0.500, 0.000), Sc at (0.000, 0.000, 0.500), Fe at (0.000, 0.000, 0.000) and Ag at (0.500, 0.500, 0.500).

---

no.,formation energy from the elements (eV/atom)
1,0.55
2,0.02